(1)
An optimized crystal structure of Ca2MoWO6. Source: the Alexandria database, functional GGA-PBEsol.

```
Ca2MoWO6
1.0
-3.806 0.563 -3.788
2.032 -4.468 -2.705
-4.698 -4.613 4.091
Ca Mo W O
4 2 2 12
Direct
0.013 0.447 0.249
0.487 0.947 0.251
0.987 0.553 0.751
0.513 0.053 0.749
0.500 0.500 0.500
0.000 0.000 0.000
0.500 0.500 0.000
0.000 0.000 0.500
0.302 0.212 0.045
0.198 0.712 0.455
0.698 0.788 0.955
0.802 0.288 0.545
0.793 0.298 0.958
0.707 0.798 0.542
0.207 0.702 0.042
0.293 0.202 0.458
0.915 0.024 0.254
0.585 0.524 0.246
0.415 0.476 0.754
0.085 0.976 0.746
```

Offset from the most stable computed form in eV/f.u.: 0.00
Total magnetic moment in Bohr magnetons per cell: 3.28
Space-group type: P2_1/c (14)
N(E_F) in states/eV/atom: 0.481
Density in g/cm³: 6.455
Formation energy (no corrections) in eV per atom: -2.418
Calculated total energy in eV per atom: -8.552

=====

(2)
An optimized crystal structure of Zr2CoTc. Source: the Alexandria database, functional GGA-PBEsol.

```
Zr2CoTc
1.0
-0.010 3.418 2.947
-1.053 -0.751 4.324
3.196 0.250 3.177
Co Tc Zr
1 1 2
Direct
0.000 0.000 0.000
0.500 0.500 0.500
0.250 0.250 0.250
0.750 0.750 0.750
```

Offset from the most stable computed form in eV/f.u.: 0.05
Total magnetic moment in Bohr magnetons per cell: 0.22
Space-group type: Fm-3m (225)
N(E_F) in states/eV/atom: 0.447
Calculated formation energy in meV/atom: -362
Density in g/cm³: 8.668
Calculated total energy in eV per atom: -9.658

=====

(3)
An optimized crystal structure of Ba3HfGe. Source: the Alexandria database, functional GGA-PBEsol.

```
Ba3HfGe
1.0
6.215 0.000 0.000
0.000 6.215 0.000
0.000 0.000 6.215
Ge Hf Ba
1 1 3
Direct
0.000 0.000 0.000
0.500 0.500 0.500
0.000 0.500 0.000
0.000 0.000 0.500
0.500 0.000 0.000
```

Total magnetic moment in Bohr magnetons per cell: 4.21
Space-group type: Pm-3m (221)
N(E_F) in states/eV/atom: 2.072
Calculated formation energy in meV/atom: 690
Density in g/cm³: 4.587
Calculated total energy in eV per atom: -3.688

=====

(4)
An optimized crystal structure of Mn2SiAs. Source: the Alexandria database, functional GGA-PBEsol.

```
Mn2SiAs
1.0
3.475 0.000 0.000
0.000 3.475 0.000
-1.738 -1.738 4.067
As Mn Si
1 2 1
Direct
0.250 0.750 0.500
0.000 0.000 0.000
0.750 0.250 0.500
0.500 0.500 0.000
```

Total magnetic moment in Bohr magnetons per cell: 3.85
Space-group type: I-4m2 (119)
N(E_F) in states/eV/atom: 0.707
Density in g/cm³: 7.196
Formation energy (no corrections) in eV per atom: 0.003
Calculated total energy in eV per atom: -7.591

=====

(5)
An optimized crystal structure of Mg2VN3. Source: the Alexandria database, functional GGA-PBEsol.

```
Mg2VN3
1.0
4.967 0.000 0.000
0.000 5.746 -0.004
0.000 2.797 5.019
Mg V N
4 2 6
Direct
0.529 0.001 0.669
0.529 0.331 0.999
0.029 0.999 0.331
0.029 0.669 0.001
0.518 0.664 0.336
0.018 0.336 0.664
0.102 0.035 0.668
0.102 0.332 0.965
0.602 0.965 0.332
0.602 0.668 0.035
0.149 0.635 0.365
0.649 0.365 0.635
```

Total magnetic moment in Bohr magnetons per cell: 0.00
Space-group type: Cmc2_1 (36)
N(E_F) in states/eV/atom: 0.000
Density in g/cm³: 3.281
Formation energy (no corrections) in eV per atom: -1.054
Calculated total energy in eV per atom: -7.495

=====

(6)
An optimized crystal structure of Si2HgBr. Source: the Alexandria database, functional GGA-PBEsol.

```
Si2HgBr
1.0
3.449 0.000 0.000
0.000 3.948 0.000
0.000 0.000 6.249
Br Hg Si
1 1 2
Direct
0.500 0.500 0.000
0.500 0.500 0.500
0.000 0.000 0.699
0.000 0.000 0.301
```

Offset from the most stable computed form in eV/f.u.: 1.86
Total magnetic moment in Bohr magnetons per cell: 0.00
Space-group type: Pmmm (47)
N(E_F) in states/eV/atom: 0.707
Density in g/cm³: 6.570
Formation energy (no corrections) in eV per atom: 0.554
Calculated total energy in eV per atom: -2.929

=====

(7)
An optimized crystal structure of SiRh7. Source: the Alexandria database, functional GGA-PBEsol.

```
SiRh7
1.0
-4.629 2.587 0.348
-4.044 -1.351 -3.172
-4.263 -2.443 2.025
Rh Si
7 1
Direct
0.000 0.000 0.500
0.000 0.500 0.000
0.500 0.000 0.000
0.500 0.500 0.000
0.500 0.000 0.500
0.000 0.500 0.500
0.500 0.500 0.500
0.000 0.000 0.000
```

Total magnetic moment in Bohr magnetons per cell: 0.00
Space-group type: Fm-3m (225)
N(E_F) in states/eV/atom: 1.129
Density in g/cm³: 11.709
Formation energy (no corrections) in eV per atom: -0.218
Calculated total energy in eV per atom: -8.057

=====

(8)
An optimized crystal structure of KNa3Mn. Source: the Alexandria database, functional GGA-PBEsol.

```
KNa3Mn
1.0
-3.046 -4.106 -3.064
5.104 -2.741 -1.401
-0.444 -3.340 4.916
Na K Mn
3 1 1
Direct
0.000 0.500 0.000
0.000 0.000 0.500
0.500 0.000 0.000
0.500 0.500 0.500
0.000 0.000 0.000
```

Total magnetic moment in Bohr magnetons per cell: 4.57
Space-group type: Pm-3m (221)
N(E_F) in states/eV/atom: 0.997
Calculated formation energy in meV/atom: 644
Density in g/cm³: 1.278
Calculated total energy in eV per atom: -2.375